# Tl2SnWF

A relaxed structure of Tl2SnWF (GGA+U, Alexandria).

```
5
Lattice="5.8254 0.0000 0.0000 0.0000 5.8254 0.0000 0.0000 0.0000 4.1553" Properties=species:S:1:pos:R:3 pbc="T T T"
Tl 0.0000 2.9127 0.0000
Tl 2.9127 0.0000 0.0000
Sn 0.0000 0.0000 2.0777
W 2.9127 2.9127 0.0000
F 2.9127 2.9127 2.0777
```

Calculated values
Calculated volume: 28.2 A^3/atom
Total DFT energy (no corrections): -3.622 eV per atom
Crystal system: tetragonal
Magnetic moment: 3.41 μB/f.u.
Space-group type: P4/mmm